Record 1
The following is a GGA-PBE calculation of a geometry-optimized Sm3B8Ru3 structure, from the Alexandria database.

Structure (extended XYZ):
```
14
Lattice="-1.583 4.610 6.264 1.583 -4.610 6.264 1.583 4.610 -6.264" Properties=species:S:1:pos:R:3 pbc="T T T"
Sm 0.000 0.000 0.000
Sm 0.000 0.000 3.557
Sm 0.000 0.000 8.970
B 1.583 1.666 -1.879
B 1.583 -2.375 4.625
B 1.583 1.666 1.879
B 0.000 2.235 1.639
B 1.583 2.375 4.625
B 0.000 2.944 4.385
B 0.000 6.985 1.639
B 0.000 2.944 8.142
Ru 1.583 2.589 0.000
Ru 0.000 4.610 0.000
Ru 0.000 2.021 6.264
```

Values from the calculation:
theoretical density = 7.64 Mg/m³
formation enthalpy at 0 K = -0.11 eV per atom
magnetization = 0.00 μB/f.u.


Record 2
The following is a GGA-PBE calculation of a geometry-optimized SrNpBi2O8 structure, from the Alexandria database.

Structure (extended XYZ):
```
12
Lattice="3.667 -3.765 0.000 3.667 3.765 0.000 0.000 0.000 7.212" Properties=species:S:1:pos:R:3 pbc="T T T"
Sr 0.000 0.000 0.000
Np 0.000 0.000 3.606
Bi 3.667 0.000 1.752
Bi 3.667 0.000 5.459
O 1.365 0.000 2.106
O 1.365 0.000 5.106
O 3.667 1.721 3.606
O 3.667 1.333 0.000
O 3.667 -1.333 0.000
O 3.667 -1.721 3.606
O 5.969 0.000 2.106
O 5.969 0.000 5.106
```

Values from the calculation:
theoretical density = 7.26 Mg/m³
magnetization = 0.00 μB/f.u.
raw total energy = -7.1357 eV per atom


Record 3
The following is a GGA-PBE calculation of a geometry-optimized LiCrP2S7 structure, from the Alexandria database.

Structure (extended XYZ):
```
11
Lattice="4.343 -4.839 0.000 4.343 4.839 0.000 -4.258 0.000 6.860" Properties=species:S:1:pos:R:3 pbc="T T T"
Li 0.000 0.000 0.000
Cr 2.214 2.077 3.430
P -0.455 0.683 2.990
P 4.883 0.683 3.870
S 1.091 3.798 4.819
S 3.338 3.798 2.041
S 0.810 0.482 4.559
S 3.619 0.482 2.301
S -0.487 -2.959 5.179
S 2.214 -2.907 3.430
S 4.916 -2.959 1.681
```

Values from the calculation:
theoretical density = 1.99 Mg/m³
magnetization = 3.00 μB/f.u.
raw total energy = -5.1376 eV per atom


Record 4
The following is a GGA-PBE calculation of a geometry-optimized UHg2Bi structure, from the Alexandria database.

Structure (extended XYZ):
```
4
Lattice="3.991 0.000 0.000 0.000 3.991 0.000 0.000 0.000 6.684" Properties=species:S:1:pos:R:3 pbc="T T T"
U 0.000 0.000 0.000
Hg 1.995 1.995 1.664
Hg 1.995 1.995 5.020
Bi 0.000 0.000 3.342
```

Values from the calculation:
excess energy over the best structure of this formula in the dataset = 0.59 eV per formula unit
theoretical density = 13.23 Mg/m³
formation enthalpy at 0 K = 0.20 eV per atom
magnetization = 3.42 μB/f.u.


Record 5
The following is a GGA-PBE calculation of a geometry-optimized Rb3U2Ge2O11 structure, from the Alexandria database.

Structure (extended XYZ):
```
72
Lattice="7.061 0.000 0.000 0.000 12.484 0.000 -4.244 0.000 15.327" Properties=species:S:1:pos:R:3 pbc="T T T"
Rb -0.298 1.847 1.297
Rb -2.420 4.395 8.961
Rb -2.498 8.164 10.235
Rb -0.376 10.562 2.571
Rb 1.010 2.118 8.787
Rb 3.132 4.124 1.124
Rb -0.316 8.360 14.204
Rb 1.806 10.366 6.540
Rb 3.193 1.922 12.756
Rb 5.315 4.320 5.093
Rb 5.237 8.089 6.367
Rb 3.115 10.637 14.030
U -2.122 0.000 7.664
U 0.000 6.242 0.000
U 1.418 7.000 3.742
U -0.704 11.727 11.406
U 3.530 0.000 0.000
U 1.408 6.242 7.664
U 3.520 0.758 3.922
U 1.398 5.485 11.586
Ge 0.041 0.971 4.977
Ge -2.081 5.271 12.641
Ge -0.335 2.548 12.878
Ge 1.787 3.694 5.214
Ge 1.030 8.790 10.113
Ge 3.152 9.936 2.450
Ge 4.897 7.213 2.687
Ge 2.775 11.513 10.351
O -0.750 7.569 3.702
O -2.872 11.157 11.366
O -1.820 1.844 7.823
O 0.303 4.398 0.160
O -2.475 6.417 13.911
O -0.353 12.309 6.248
O -2.453 0.633 14.916
O -0.331 5.610 7.253
O 1.376 6.601 1.771
O -0.746 12.125 9.435
O -1.143 1.366 11.835
O 0.979 4.876 4.172
O 0.550 2.510 5.772
O -1.572 3.732 13.436
O 1.317 0.368 3.904
O -0.805 5.874 11.567
O 0.386 8.023 8.663
O 2.508 10.703 1.000
O 1.903 9.126 3.396
O -0.219 9.601 11.060
O 1.422 7.420 5.739
O -0.700 11.306 13.403
O 3.517 1.178 1.925
O 1.395 5.064 9.588
O 3.036 2.884 4.268
O 0.914 3.358 11.932
O 0.309 1.781 14.328
O 2.431 4.461 6.664
O 3.622 6.610 3.760
O 1.500 12.116 11.424
O 4.389 8.752 1.892
O 2.267 9.974 9.556
O 1.837 7.608 11.156
O 3.959 11.118 3.492
O 3.563 0.359 5.893
O 1.441 5.883 13.556
O 3.148 6.875 8.075
O 5.270 11.852 0.411
O 3.169 0.175 9.080
O 5.291 6.067 1.416
O 2.514 8.086 15.168
O 4.636 10.640 7.504
O 5.688 1.327 3.962
O 3.566 4.915 11.626
```

Values from the calculation:
theoretical density = 5.18 Mg/m³
magnetization = 1.02 μB/f.u.
raw total energy = -7.3870 eV per atom


Record 6
The following is a GGA-PBE calculation of a geometry-optimized ErAlTc2 structure, from the Alexandria database.

Structure (extended XYZ):
```
4
Lattice="1.568 0.905 8.198 -1.568 0.905 8.198 0.000 -1.811 8.198" Properties=species:S:1:pos:R:3 pbc="T T T"
Er 0.000 0.000 0.000
Al 0.000 0.000 12.297
Tc 0.000 0.000 5.956
Tc 0.000 0.000 18.638
```

Values from the calculation:
theoretical density = 9.28 Mg/m³
formation enthalpy at 0 K = 0.21 eV per atom
magnetization = 0.00 μB/f.u.